First-principles (PBE) data for an optimized crystal structure of Na6Tl12Rh, as listed in the Alexandria database.

Output
ΔH_f (0 K): -1.22 kcal/mol of atoms

a b c (Å): 8.1343 8.1343 8.1343
angles (deg): 94.80 94.80 94.80
Fractional positions:
Na  0.1206  0.2893  0.7421
Na  0.8794  0.7107  0.2579
Na  0.7421  0.1206  0.2893
Na  0.2579  0.8794  0.7107
Na  0.2893  0.7421  0.1206
Na  0.7107  0.2579  0.8794
Tl  0.9645  0.6518  0.8774
Tl  0.5336  0.4583  0.2051
Tl  0.7949  0.4664  0.5417
Tl  0.3482  0.1226  0.0355
Tl  0.1226  0.0355  0.3482
Tl  0.6518  0.8774  0.9645
Tl  0.0355  0.3482  0.1226
Tl  0.4583  0.2051  0.5336
Tl  0.2051  0.5336  0.4583
Tl  0.4664  0.5417  0.7949
Tl  0.8774  0.9645  0.6518
Tl  0.5417  0.7949  0.4664
Rh  0.0000  0.0000  0.0000

---

First-principles (PBE) data for an optimized crystal structure of Re2AuSe, as listed in the Alexandria database.

Output
E_form (uncorrected): 786.5 meV per atom

a b c (Å): 4.0338 3.0608 5.4641
angles (deg): 73.48 90.00 90.00
Fractional positions:
Se  0.5000  0.2500  0.2500
Re  0.0000  0.3865  0.4814
Re  0.0000  0.1135  0.0186
Au  0.5000  0.7500  0.7500

---

First-principles (PBE) data for an optimized crystal structure of YScCSe, as listed in the Alexandria database.

Output
E_form (uncorrected): -1092.0 meV per atom

a b c (Å): 3.6186 3.6188 6.8227
angles (deg): 90.00 105.38 120.00
Fractional positions:
Y  0.5053  0.1506  0.6712
Se  0.9576  0.3769  0.3495
C  0.3128  0.5542  0.8824
Sc  0.1021  0.9491  0.0665

---

First-principles (PBE) data for an optimized crystal structure of LiTi5S8, as listed in the Alexandria database.

Output
E_form (uncorrected): -1293.9 meV per atom

a b c (Å): 7.2074 7.2074 7.2074
angles (deg): 60.00 60.00 60.00
Fractional positions:
Li  0.2500  0.2500  0.2500
S  0.3773  0.3773  0.3773
S  0.3773  0.3773  0.8681
S  0.8674  0.8674  0.3978
S  0.8681  0.3773  0.3773
S  0.8674  0.3978  0.8674
S  0.3773  0.8681  0.3773
S  0.8674  0.8674  0.8674
S  0.3978  0.8674  0.8674
Ti  0.1735  0.6088  0.6088
Ti  0.0000  0.0000  0.0000
Ti  0.6088  0.6088  0.6088
Ti  0.6088  0.1735  0.6088
Ti  0.6088  0.6088  0.1735

---

First-principles (PBE) data for an optimized crystal structure of KTl2AuCl5, as listed in the Alexandria database.

Output
E_form (uncorrected): -882.8 meV per atom

a b c (Å): 8.2832 8.2832 9.7213
angles (deg): 115.22 115.22 90.00
Fractional positions:
Cl  0.6989  0.1989  0.7152
Cl  0.5000  0.5000  0.0000
Cl  0.4838  0.3011  0.2848
Cl  0.8011  0.9838  0.2848
Cl  0.1989  0.0162  0.7152
Cl  0.0000  0.0000  0.0000
Cl  0.3011  0.8011  0.2848
Cl  0.0162  0.5162  0.7152
Cl  0.5162  0.6989  0.7152
Cl  0.9838  0.4838  0.2848
Au  0.2500  0.7500  0.5000
Au  0.7500  0.2500  0.5000
Tl  0.1684  0.3316  0.0000
Tl  0.6684  0.1684  0.0000
Tl  0.8316  0.6684  0.0000
Tl  0.3316  0.8316  0.0000
K  0.7500  0.7500  0.5000
K  0.2500  0.2500  0.5000

---

First-principles (PBE) data for an optimized crystal structure of Zr5CoBi2, as listed in the Alexandria database.

Output
ΔH_f (0 K): -6.04 kcal/mol of atoms

a b c (Å): 4.0790 7.4389 12.0333
angles (deg): 90.00 90.00 90.00
Fractional positions:
Zr  0.0000  0.8658  0.1861
Zr  0.0000  0.6342  0.6861
Zr  0.0000  0.0000  0.5000
Zr  0.5000  0.1840  0.0704
Zr  0.0000  0.1342  0.8139
Zr  0.5000  0.3160  0.5704
Zr  0.0000  0.3658  0.3139
Zr  0.5000  0.6840  0.4296
Zr  0.5000  0.8160  0.9296
Zr  0.0000  0.5000  0.0000
Bi  0.5000  0.9302  0.6775
Bi  0.5000  0.0698  0.3225
Bi  0.5000  0.4302  0.8225
Bi  0.5000  0.5698  0.1775
Co  0.0000  0.0000  0.0000
Co  0.0000  0.5000  0.5000